No. 1
LaBe2Mo | PBE-GGA | optimized geometry

```
data_LaBe2Mo
_chemical_formula_sum 'La3 Be6 Mo3'
_cell_length_a 4.0394
_cell_length_b 4.0394
_cell_length_c 15.4992
_cell_angle_alpha 90.00
_cell_angle_beta 90.00
_cell_angle_gamma 120.00
_space_group_name_H-M_alt 'R -3 m'
_space_group_IT_number 166
_space_group_name_Hall '-R 3 2"'
loop_
_atom_site_label
_atom_site_fract_x
_atom_site_fract_y
_atom_site_fract_z
La1 0.0000 0.0000 0.0000
Be1 0.0000 0.0000 0.1942
Mo1 0.0000 0.0000 0.5000
```

Calculated values
Formation energy in eV per atom: 0.29
DOS at the Fermi energy in states/eV per cell: 10.0
E_tot in eV per atom: -5.514
Volume in Å³/cell: 219.0

No. 2
Er3TlPb3 | PBE-GGA | optimized geometry

```
data_Er3TlPb3
_chemical_formula_sum 'Er6 Tl2 Pb6'
_cell_length_a 8.9197
_cell_length_b 8.9197
_cell_length_c 5.7847
_cell_angle_alpha 90.00
_cell_angle_beta 90.00
_cell_angle_gamma 120.00
_space_group_name_H-M_alt 'P 63/m'
_space_group_IT_number 176
_space_group_name_Hall '-P 6c'
loop_
_atom_site_label
_atom_site_fract_x
_atom_site_fract_y
_atom_site_fract_z
Er1 0.0909 0.4509 0.2500
Tl1 0.3333 0.6667 0.7500
Pb1 0.0530 0.2570 0.7500
```

Calculated values
Formation energy in eV per atom: -0.22
DOS at the Fermi energy in states/eV per cell: 13.5
E_tot in eV per atom: -4.102
Volume in Å³/cell: 398.6